No. 1
Compound: KRb2NaHg
Source: the Alexandria database
Functional: GGA-PBE
Structure: relaxed Values from VASP.

Output
distance to the lowest polymorph of the same formula = 0.088 eV/atom
size of the total moment = 0.000 μB/cell
calculated formation energy = 0.04 eV per atom
VASP energy = -0.892 eV/atom

Structure (Quantum ESPRESSO input):
```
&SYSTEM
  ibrav = 0, nat = 5, ntyp = 4
/
ATOMIC_SPECIES
K 39.10 K.upf
Rb 85.47 Rb.upf
Na 22.99 Na.upf
Hg 200.59 Hg.upf
CELL_PARAMETERS angstrom
7.414 0.000 0.000
0.000 7.414 0.000
0.000 0.000 5.878
ATOMIC_POSITIONS crystal
K 0.000 0.000 0.000
Rb 0.000 0.500 0.500
Rb 0.500 0.000 0.500
Na 0.500 0.500 0.500
Hg 0.500 0.500 0.000
```


No. 2
Compound: K5RbNaHg
Source: the Alexandria database
Functional: GGA-PBE
Structure: relaxed Values from VASP.

Output
size of the total moment = 0.000 μB/cell
calculated formation energy = -0.01 eV per atom
VASP energy = -1.017 eV/atom

Structure (Quantum ESPRESSO input):
```
&SYSTEM
  ibrav = 0, nat = 16, ntyp = 4
/
ATOMIC_SPECIES
K 39.10 K.upf
Rb 85.47 Rb.upf
Na 22.99 Na.upf
Hg 200.59 Hg.upf
CELL_PARAMETERS angstrom
4.820 -8.349 0.000
4.820 8.349 0.000
-0.372 0.000 12.101
ATOMIC_POSITIONS crystal
K 0.155 0.845 0.750
K 0.192 0.255 0.015
K 0.208 0.609 0.401
K 0.255 0.192 0.515
K 0.391 0.792 0.099
K 0.609 0.208 0.901
K 0.745 0.808 0.485
K 0.792 0.391 0.599
K 0.808 0.745 0.985
K 0.845 0.155 0.250
Rb 0.404 0.596 0.750
Rb 0.596 0.404 0.250
Na 0.098 0.902 0.250
Na 0.902 0.098 0.750
Hg 0.000 0.500 0.000
Hg 0.500 0.000 0.500
```


No. 3
Compound: K5RbNa2Hg
Source: the Alexandria database
Functional: GGA-PBE
Structure: relaxed Values from VASP.

Output
size of the total moment = 0.000 μB/cell
calculated formation energy = -0.02 eV per atom
VASP energy = -1.060 eV/atom

Structure (Quantum ESPRESSO input):
```
&SYSTEM
  ibrav = 0, nat = 18, ntyp = 4
/
ATOMIC_SPECIES
K 39.10 K.upf
Rb 85.47 Rb.upf
Na 22.99 Na.upf
Hg 200.59 Hg.upf
CELL_PARAMETERS angstrom
2.242 -11.286 0.000
2.242 11.286 0.000
0.000 0.000 20.565
ATOMIC_POSITIONS crystal
K 0.034 0.966 0.500
K 0.225 0.775 0.770
K 0.296 0.704 0.051
K 0.357 0.643 0.472
K 0.459 0.541 0.180
K 0.541 0.459 0.680
K 0.643 0.357 0.972
K 0.704 0.296 0.551
K 0.775 0.225 0.270
K 0.966 0.034 0.000
Rb 0.402 0.598 0.826
Rb 0.598 0.402 0.326
Na 0.062 0.938 0.839
Na 0.128 0.872 0.148
Na 0.872 0.128 0.648
Na 0.938 0.062 0.339
Hg 0.209 0.791 0.405
Hg 0.791 0.209 0.905
```


No. 4
Compound: K2Rb8NaHg
Source: the Alexandria database
Functional: GGA-PBE
Structure: relaxed Values from VASP.

Output
size of the total moment = 0.000 μB/cell
calculated formation energy = -0.02 eV per atom
VASP energy = -0.981 eV/atom

Structure (Quantum ESPRESSO input):
```
&SYSTEM
  ibrav = 0, nat = 12, ntyp = 4
/
ATOMIC_SPECIES
K 39.10 K.upf
Rb 85.47 Rb.upf
Na 22.99 Na.upf
Hg 200.59 Hg.upf
CELL_PARAMETERS angstrom
8.805 0.000 0.000
-2.777 9.371 0.000
-3.430 -3.503 10.714
ATOMIC_POSITIONS crystal
K 0.013 0.255 0.011
K 0.987 0.745 0.989
Rb 0.092 0.628 0.365
Rb 0.106 0.101 0.361
Rb 0.451 0.820 0.793
Rb 0.468 0.304 0.797
Rb 0.532 0.696 0.203
Rb 0.549 0.180 0.207
Rb 0.894 0.899 0.639
Rb 0.908 0.372 0.635
Na 0.500 0.500 0.500
Hg 0.500 0.000 0.500
```


No. 5
Compound: KRb2NaHg
Source: the Alexandria database
Functional: GGA-PBE
Structure: relaxed Values from VASP.

Output
distance to the lowest polymorph of the same formula = 0.044 eV/atom
size of the total moment = 0.000 μB/cell
calculated formation energy = -0.01 eV per atom
VASP energy = -0.936 eV/atom

Structure (Quantum ESPRESSO input):
```
&SYSTEM
  ibrav = 0, nat = 5, ntyp = 4
/
ATOMIC_SPECIES
K 39.10 K.upf
Rb 85.47 Rb.upf
Na 22.99 Na.upf
Hg 200.59 Hg.upf
CELL_PARAMETERS angstrom
7.011 0.000 0.000
0.000 7.011 0.000
0.000 0.000 6.754
ATOMIC_POSITIONS crystal
K 0.000 0.000 0.000
Rb 0.000 0.500 0.500
Rb 0.500 0.000 0.500
Na 0.500 0.500 0.000
Hg 0.000 0.000 0.500
```


No. 6
Compound: K2RbNaHg
Source: the Alexandria database
Functional: GGA-PBE
Structure: relaxed Values from VASP.

Output
distance to the lowest polymorph of the same formula = 0.093 eV/atom
size of the total moment = 0.000 μB/cell
calculated formation energy = 0.03 eV per atom
VASP energy = -0.928 eV/atom

Structure (Quantum ESPRESSO input):
```
&SYSTEM
  ibrav = 0, nat = 5, ntyp = 4
/
ATOMIC_SPECIES
K 39.10 K.upf
Rb 85.47 Rb.upf
Na 22.99 Na.upf
Hg 200.59 Hg.upf
CELL_PARAMETERS angstrom
7.077 0.000 0.000
0.000 7.077 0.000
0.000 0.000 5.933
ATOMIC_POSITIONS crystal
K 0.000 0.500 0.000
K 0.500 0.000 0.000
Rb 0.000 0.000 0.500
Na 0.500 0.500 0.000
Hg 0.500 0.500 0.500
```


No. 7
Compound: K2RbNaHg
Source: the Alexandria database
Functional: GGA-PBE
Structure: relaxed Values from VASP.

Output
distance to the lowest polymorph of the same formula = 0.057 eV/atom
size of the total moment = 0.000 μB/cell
calculated formation energy = -0.01 eV per atom
VASP energy = -0.964 eV/atom

Structure (Quantum ESPRESSO input):
```
&SYSTEM
  ibrav = 0, nat = 5, ntyp = 4
/
ATOMIC_SPECIES
K 39.10 K.upf
Rb 85.47 Rb.upf
Na 22.99 Na.upf
Hg 200.59 Hg.upf
CELL_PARAMETERS angstrom
6.730 0.000 0.000
0.000 6.730 0.000
0.000 0.000 6.972
ATOMIC_POSITIONS crystal
K 0.000 0.500 0.000
K 0.500 0.000 0.000
Rb 0.000 0.000 0.500
Na 0.500 0.500 0.500
Hg 0.000 0.000 0.000
```


No. 8
Compound: KRbNa2Hg
Source: the Alexandria database
Functional: GGA-PBE
Structure: relaxed Values from VASP.

Output
distance to the lowest polymorph of the same formula = 0.027 eV/atom
size of the total moment = 0.000 μB/cell
calculated formation energy = -0.04 eV per atom
VASP energy = -1.041 eV/atom

Structure (Quantum ESPRESSO input):
```
&SYSTEM
  ibrav = 0, nat = 5, ntyp = 4
/
ATOMIC_SPECIES
K 39.10 K.upf
Rb 85.47 Rb.upf
Na 22.99 Na.upf
Hg 200.59 Hg.upf
CELL_PARAMETERS angstrom
6.165 0.000 0.000
0.000 6.165 0.000
0.000 0.000 6.846
ATOMIC_POSITIONS crystal
K 0.000 0.000 0.000
Rb 0.500 0.500 0.000
Na 0.000 0.500 0.500
Na 0.500 0.000 0.500
Hg 0.500 0.500 0.500
```


No. 9
Compound: K5RbNaHg2
Source: the Alexandria database
Functional: GGA-PBE
Structure: relaxed Values from VASP.

Output
size of the total moment = 0.000 μB/cell
calculated formation energy = -0.05 eV per atom
VASP energy = -0.980 eV/atom

Structure (Quantum ESPRESSO input):
```
&SYSTEM
  ibrav = 0, nat = 9, ntyp = 4
/
ATOMIC_SPECIES
K 39.10 K.upf
Rb 85.47 Rb.upf
Na 22.99 Na.upf
Hg 200.59 Hg.upf
CELL_PARAMETERS angstrom
6.728 0.000 0.000
0.000 6.728 0.000
0.000 0.000 12.839
ATOMIC_POSITIONS crystal
K 0.000 0.000 0.000
K 0.000 0.500 0.312
K 0.000 0.500 0.688
K 0.500 0.000 0.312
K 0.500 0.000 0.688
Rb 0.500 0.500 0.000
Na 0.000 0.000 0.500
Hg 0.000 0.000 0.258
Hg 0.000 0.000 0.742
```


No. 10
Compound: K2RbNa2Hg
Source: the Alexandria database
Functional: GGA-PBE
Structure: relaxed Values from VASP.

Output
size of the total moment = 0.000 μB/cell
calculated formation energy = -0.05 eV per atom
VASP energy = -1.065 eV/atom

Structure (Quantum ESPRESSO input):
```
&SYSTEM
  ibrav = 0, nat = 12, ntyp = 4
/
ATOMIC_SPECIES
K 39.10 K.upf
Rb 85.47 Rb.upf
Na 22.99 Na.upf
Hg 200.59 Hg.upf
CELL_PARAMETERS angstrom
-5.547 7.237 4.116
5.547 -7.237 4.116
5.547 7.237 -4.116
ATOMIC_POSITIONS crystal
K 0.183 0.140 0.324
K 0.317 0.640 0.957
K 0.683 0.360 0.043
K 0.817 0.860 0.676
Rb 0.250 0.750 0.500
Rb 0.750 0.250 0.500
Na 0.082 0.814 0.896
Na 0.418 0.314 0.732
Na 0.582 0.686 0.268
Na 0.918 0.186 0.104
Hg 0.250 0.250 0.000
Hg 0.750 0.750 0.000
```


No. 11
Compound: KRb2Na2Hg
Source: the Alexandria database
Functional: GGA-PBE
Structure: relaxed Values from VASP.

Output
size of the total moment = 0.000 μB/cell
calculated formation energy = -0.06 eV per atom
VASP energy = -1.053 eV/atom

Structure (Quantum ESPRESSO input):
```
&SYSTEM
  ibrav = 0, nat = 12, ntyp = 4
/
ATOMIC_SPECIES
K 39.10 K.upf
Rb 85.47 Rb.upf
Na 22.99 Na.upf
Hg 200.59 Hg.upf
CELL_PARAMETERS angstrom
-5.503 7.603 4.116
5.503 -7.603 4.116
5.503 7.603 -4.116
ATOMIC_POSITIONS crystal
K 0.250 0.250 0.000
K 0.750 0.750 0.000
Rb 0.190 0.637 0.827
Rb 0.310 0.137 0.446
Rb 0.690 0.863 0.554
Rb 0.810 0.363 0.173
Na 0.066 0.303 0.369
Na 0.434 0.803 0.237
Na 0.566 0.197 0.763
Na 0.934 0.697 0.631
Hg 0.250 0.750 0.500
Hg 0.750 0.250 0.500
```


No. 12
Compound: K2Rb4NaHg2
Source: the Alexandria database
Functional: GGA-PBE
Structure: relaxed Values from VASP.

Output
size of the total moment = 0.000 μB/cell
calculated formation energy = -0.09 eV per atom
VASP energy = -0.977 eV/atom

Structure (Quantum ESPRESSO input):
```
&SYSTEM
  ibrav = 0, nat = 9, ntyp = 4
/
ATOMIC_SPECIES
K 39.10 K.upf
Rb 85.47 Rb.upf
Na 22.99 Na.upf
Hg 200.59 Hg.upf
CELL_PARAMETERS angstrom
7.470 0.000 0.000
3.222 8.300 0.000
1.643 0.672 8.833
ATOMIC_POSITIONS crystal
K 0.131 0.161 0.360
K 0.869 0.839 0.640
Rb 0.265 0.019 0.843
Rb 0.411 0.571 0.267
Rb 0.589 0.429 0.733
Rb 0.735 0.981 0.157
Na 0.000 0.500 0.000
Hg 0.113 0.424 0.636
Hg 0.887 0.576 0.364
```